Record 1
# Ta3BOs

Crystalline Ta3BOs at its relaxed geometry (PBE, Alexandria).

Cell lengths 4.305, 4.305, 4.305 Å; angles 90.00, 90.00, 90.00 degrees
Fractional coordinates of all 5 atoms:
1 Ta 0.000 0.000 0.500
2 Ta 0.000 0.500 0.000
3 Ta 0.500 0.000 0.000
4 B 0.000 0.000 0.000
5 Os 0.500 0.500 0.500

Results
The calculation puts the distance to the lowest polymorph of the same formula at 0 meV/atom. As for the space group: Pm-3m. The crystal system is cubic. The total energy is -0.78176 Ry/atom. As for the density of states at the Fermi level: 4.6 states/eV/cell.

Record 2
# K2CrRu

Crystalline K2CrRu at its relaxed geometry (PBE, Alexandria).

Cell lengths 20.753, 3.175, 3.791 Å; angles 90.00, 100.51, 90.00 degrees
Fractional coordinates of all 8 atoms:
1 K 0.147 0.000 0.145
2 K 0.353 0.500 0.855
3 K 0.647 0.500 0.145
4 K 0.853 0.000 0.855
5 Cr 0.000 0.000 0.500
6 Cr 0.500 0.500 0.500
7 Ru 0.000 0.500 0.000
8 Ru 0.500 0.000 0.000

Results
The calculation puts the distance to the lowest polymorph of the same formula at 34 meV/atom. As for the space group: C2/m. The crystal system is monoclinic. The total energy is -0.33472 Ry/atom. As for the density of states at the Fermi level: 6.4 states/eV/cell.

Record 3
# TiTe2CI

Crystalline TiTe2CI at its relaxed geometry (PBE, Alexandria).

Cell lengths 4.739, 4.739, 4.912 Å; angles 90.00, 90.00, 90.00 degrees
Fractional coordinates of all 5 atoms:
1 Ti 0.000 0.000 0.000
2 Te 0.000 0.500 0.500
3 Te 0.500 0.000 0.500
4 C 0.500 0.500 0.500
5 I 0.500 0.500 0.000

Results
The calculation puts the distance to the lowest polymorph of the same formula at 0 meV/atom. As for the space group: P4/mmm. The crystal system is tetragonal. The total energy is -0.28800 Ry/atom. The uncorrected formation energy comes out at 1072.0 meV per atom. As for the density of states at the Fermi level: 7.4 states/eV/cell.

density of states at the Fermi level of number 1 (Ta3BOs)?
4.6 states/eV/cell